Material: NiP2Cl
Method: DFT, PBE
State: optimized geometry

## Properties
As for the volume: 20.57 Å³ per atom. The value obtained for the energy relative to the elements, uncorrected is 218 meV/atom. As for the total energy: -4.3936 eV/atom. The density of states at the Fermi level comes out at 2.78 states/eV/f.u. The calculation puts the energy relative to the lowest polymorph listed for this composition at 0.431 eV per atom. The calculation puts the size of the total moment at 0.0 μB/f.u. As for the density: 3150 kg/m³.

Cell: 5.6917 5.6917 6.4811 Å, 63.95 63.95 90.00°
Closest atoms and distances in Å follow each position.
Sites, in units of the cell vectors:
Ni: 0.0000 0.0000 0.0000  4 P 2.11
Ni: 0.7500 0.2500 0.5000  4 P 2.11
P: 0.7177 0.1250 0.2500  2 Ni 2.11
P: 0.0323 0.6250 0.2500  2 Ni 2.11
P: 0.3750 0.2823 0.7500  2 Ni 2.11
P: 0.8750 0.9677 0.7500  2 Ni 2.11
Cl: 0.5000 0.5000 0.0000  4 P 2.73
Cl: 0.2500 0.7500 0.5000  4 P 2.73

---

Material: KSrHg2
Method: DFT, PBE
State: optimized geometry

## Properties
As for the volume: 34.05 Å³ per atom. As for the total energy: -1.1161 eV/atom. The density of states at the Fermi level comes out at 3.01 states/eV/f.u. The calculation puts the size of the total moment at 0.0 μB/f.u. The calculated formation energy is -0.27 eV per atom. As for the density: 6436 kg/m³.

Cell: 6.8497 6.8497 6.8497 Å, 144.54 132.46 60.69°
Closest atoms and distances in Å follow each position.
Sites, in units of the cell vectors:
Hg: 0.9806 0.9806 0.0000  2 Hg 3.16, 4 K 3.48
Hg: 0.7794 0.2794 0.5000  2 Hg 3.16, 4 Sr 3.52
K: 0.5152 0.5152 0.0000  6 Hg 3.48-3.76, 2 Sr 3.71
Sr: 0.2247 0.7247 0.5000  6 Hg 3.52-3.56, 2 K 3.71

---

Material: BiIrS2
Method: DFT, PBE
State: optimized geometry

## Properties
As for the volume: 21.81 Å³ per atom. The value obtained for the energy relative to the elements, uncorrected is 142 meV/atom. As for the total energy: -5.1068 eV/atom. The density of states at the Fermi level comes out at 2.55 states/eV/f.u. The calculation puts the size of the total moment at 0.0 μB/f.u. As for the density: 8856 kg/m³.

Cell: 13.4648 13.4648 4.0812 Å, 90.00 90.00 166.36°
Closest atoms and distances in Å follow each position.
Sites, in units of the cell vectors:
S: 0.2164 0.7836 0.2500  1 Ir 2.36
S: 0.7836 0.2164 0.7500  1 Ir 2.36
S: 0.8690 0.1310 0.2500  2 Ir 2.35
S: 0.1310 0.8690 0.7500  2 Ir 2.35
Ir: 0.3046 0.6954 0.2500  3 S 2.35-2.36
Ir: 0.6954 0.3046 0.7500  3 S 2.35-2.36
Bi: 0.0473 0.9527 0.2500  2 S 3.03, 4 Bi 3.20-3.25
Bi: 0.9527 0.0473 0.7500  2 S 3.03, 4 Bi 3.20-3.25

---

Material: YBeHg2
Method: DFT, PBE
State: optimized geometry

## Properties
As for the volume: 21.56 Å³ per atom. As for the total energy: -2.6694 eV/atom. The density of states at the Fermi level comes out at 2.54 states/eV/f.u. The calculation puts the size of the total moment at 0.0 μB/f.u. The calculated formation energy is 0.03 eV per atom. As for the density: 9610 kg/m³.

Cell: 4.3728 4.5477 4.3368 Å, 90.00 90.00 90.00°
Closest atoms and distances in Å follow each position.
Sites, in units of the cell vectors:
Y: 0.5000 0.0000 0.5000  8 Hg 3.08-3.14, 4 Be 3.15
Be: 0.0000 0.5000 0.5000  8 Hg 3.08-3.14, 4 Y 3.15
Hg: 0.0000 0.0000 0.0000  4 Y 3.08, 4 Be 3.14, 4 Hg 3.15
Hg: 0.5000 0.5000 0.0000  4 Be 3.08, 4 Y 3.14, 4 Hg 3.15